Record 1
Density functional theory data (SCAN) for Ag2OsBr at its PBEsol-relaxed geometry.

Lattice parameters (Å, degrees): 2.6703 3.0360 8.9562 90.00 90.00 90.00
Last column: nearest neighbours and their distance in Å.
Space group Pmmm (No. 47)
Inequivalent atoms, fractional coordinates:
Ag 0.0000 0.0000 0.2188 [2 per cell]  2 Ag 2.67, 4 Os 2.82, 2 Br 2.94
Os 0.5000 0.5000 0.0000 [1 per cell]  2 Os 2.67, 8 Ag 2.82
Br 0.0000 0.5000 0.5000 [1 per cell]  2 Br 2.67, 4 Ag 2.94

Volume ... 18.2 Å³/atom
Formation energy without anion corrections ... 73 kJ per mole of atoms
Energy relative to the lowest polymorph listed for this composition ... 1.3 kJ/mol of formula units

Record 2
Density functional theory data (SCAN) for TcP2IrO at its PBEsol-relaxed geometry.

Lattice parameters (Å, degrees): 4.6927 4.6927 3.6059 90.00 90.00 90.00
Last column: nearest neighbours and their distance in Å.
Space group P4/mmm (No. 123)
Inequivalent atoms, fractional coordinates:
Tc 0.0000 0.0000 0.0000 [1 per cell]  8 P 2.96
P 0.0000 0.5000 0.5000 [2 per cell]  2 Ir 2.35
Ir 0.5000 0.5000 0.5000 [1 per cell]  2 O 1.80
O 0.5000 0.5000 0.0000 [1 per cell]  2 Ir 1.80

Volume ... 15.9 Å³/atom
Formation energy without anion corrections ... 55 kJ per mole of atoms

Record 3
Density functional theory data (SCAN) for SmV2BiO8 at its PBEsol-relaxed geometry.

Lattice parameters (Å, degrees): 7.2763 7.2763 6.3647 90.00 90.00 90.00
Last column: nearest neighbours and their distance in Å.
Space group I-4m2 (No. 119)
Inequivalent atoms, fractional coordinates:
Sm 0.0000 0.0000 0.0000 [2 per cell]  8 O 2.36-2.46
V 0.0000 0.0000 0.5000 [2 per cell]  4 O 1.71
V 0.0000 0.5000 0.2500 [2 per cell]  4 O 1.72
Bi 0.0000 0.5000 0.7500 [2 per cell]  8 O 2.38-2.48
O 0.0000 0.1800 0.6734 [8 per cell]  1 V 1.71
O 0.0000 0.3176 0.0792 [8 per cell]  1 V 1.72

Volume ... 14.0 Å³/atom
Formation energy without anion corrections ... -258 kJ per mole of atoms

Record 4
Density functional theory data (SCAN) for SrMo3Pd at its PBEsol-relaxed geometry.

Lattice parameters (Å, degrees): 4.8174 4.8174 4.8174 90.00 90.00 90.00
Last column: nearest neighbours and their distance in Å.
Space group Pm-3m (No. 221)
Inequivalent atoms, fractional coordinates:
Sr 0.0000 0.0000 0.0000 [1 per cell]  12 Mo 3.41
Mo 0.0000 0.5000 0.5000 [3 per cell]  2 Pd 2.41
Pd 0.5000 0.5000 0.5000 [1 per cell]  6 Mo 2.41

Volume ... 22.4 Å³/atom
Energy of formation from the pure elements ... 1.73 eV per atom

Record 5
Density functional theory data (SCAN) for Hg3BBr at its PBEsol-relaxed geometry.

Lattice parameters (Å, degrees): 4.6963 4.6963 4.6963 90.00 90.00 90.00
Last column: nearest neighbours and their distance in Å.
Space group Pm-3m (No. 221)
Inequivalent atoms, fractional coordinates:
Hg 0.0000 0.0000 0.5000 [3 per cell]  2 B 2.35
B 0.0000 0.0000 0.0000 [1 per cell]  6 Hg 2.35
Br 0.5000 0.5000 0.5000 [1 per cell]  12 Hg 3.32

Volume ... 20.7 Å³/atom
Formation energy without anion corrections ... 19 kJ per mole of atoms

Record 6
Density functional theory data (SCAN) for RbYHfPt2 at its PBEsol-relaxed geometry.

Lattice parameters (Å, degrees): 4.9568 4.9568 4.9316 90.00 90.00 90.00
Last column: nearest neighbours and their distance in Å.
Space group P4/mmm (No. 123)
Inequivalent atoms, fractional coordinates:
Rb 0.0000 0.0000 0.0000 [1 per cell]  2 Y 2.47, 4 Pt 2.48
Y 0.0000 0.0000 0.5000 [1 per cell]  2 Rb 2.47
Hf 0.5000 0.5000 0.5000 [1 per cell]  8 Pt 3.50, 4 Y 3.50
Pt 0.0000 0.5000 0.0000 [2 per cell]  2 Rb 2.48

Volume ... 24.2 Å³/atom
Energy of formation from the pure elements ... 1.68 eV per atom

Record 7
Density functional theory data (SCAN) for SmTl at its PBEsol-relaxed geometry.

Lattice parameters (Å, degrees): 3.5528 3.5528 4.2758 90.00 90.00 90.00
Last column: nearest neighbours and their distance in Å.
Space group P4/mmm (No. 123)
Inequivalent atoms, fractional coordinates:
Sm 0.0000 0.0000 0.0000 [1 per cell]  8 Tl 3.30, 4 Sm 3.55
Tl 0.5000 0.5000 0.5000 [1 per cell]  8 Sm 3.30, 4 Tl 3.55

Volume ... 27.0 Å³/atom
Energy of formation from the pure elements ... -0.59 eV per atom

Record 8
Density functional theory data (SCAN) for SbPtSe2 at its PBEsol-relaxed geometry.

Lattice parameters (Å, degrees): 3.8486 3.8486 19.7696 90.00 90.00 120.00
Last column: nearest neighbours and their distance in Å.
Space group R3m (No. 160, hexagonal axes)
Inequivalent atoms, fractional coordinates:
Sb 0.0000 0.0000 0.0000 [3 per cell]  3 Pt 2.68, 3 Se 2.85
Pt 0.0000 0.0000 0.2576 [3 per cell]  3 Se 2.56, 3 Sb 2.68
Se 0.0000 0.0000 0.5268 [3 per cell]  3 Pt 2.56
Se 0.0000 0.0000 0.7573 [3 per cell]  3 Sb 2.85, 3 Se 3.01

Volume ... 21.1 Å³/atom
Formation energy without anion corrections ... -20 kJ per mole of atoms

Record 9
Density functional theory data (SCAN) for YWSe2 at its PBEsol-relaxed geometry.

Lattice parameters (Å, degrees): 3.2415 3.2415 6.7716 90.00 90.00 90.00
Last column: nearest neighbours and their distance in Å.
Space group P4/mmm (No. 123)
Inequivalent atoms, fractional coordinates:
Y 0.0000 0.0000 0.0000 [1 per cell]  8 Se 2.96, 4 Y 3.24
W 0.0000 0.0000 0.5000 [1 per cell]  8 Se 2.75
Se 0.5000 0.5000 0.2766 [2 per cell]  4 W 2.75, 4 Y 2.96, 1 Se 3.03

Volume ... 17.8 Å³/atom
Formation energy without anion corrections ... -22 kJ per mole of atoms
Energy relative to the lowest polymorph listed for this composition ... 91.2 kJ/mol of formula units

Record 10
Density functional theory data (SCAN) for Li2MnCSO7 at its PBEsol-relaxed geometry.

Lattice parameters (Å, degrees): 4.8357 6.3833 9.0661 90.00 96.92 90.00
Last column: nearest neighbours and their distance in Å.
Space group P2_1/m (No. 11)
Inequivalent atoms, fractional coordinates:
Li 0.2158 0.0165 0.3289 [4 per cell]  4 O 1.99-2.10
Mn 0.2527 0.7500 0.8648 [2 per cell]  5 O 2.09-2.18
C 0.2694 0.7500 0.5724 [2 per cell]  3 O 1.28-1.32
S 0.2373 0.2500 0.9003 [2 per cell]  4 O 1.48-1.49
O 0.0224 0.7500 0.6138 [2 per cell]  1 C 1.29
O 0.1306 0.0632 0.8144 [4 per cell]  1 S 1.48
O 0.1508 0.2500 0.0512 [2 per cell]  1 S 1.48
O 0.3113 0.7500 0.4361 [2 per cell]  1 C 1.28
O 0.4515 0.7500 0.0830 [2 per cell]  1 S 1.49
O 0.4806 0.7500 0.6791 [2 per cell]  1 C 1.32

Volume ... 11.6 Å³/atom
Formation energy without anion corrections ... -184 kJ per mole of atoms

Record 11
Density functional theory data (SCAN) for Er5Ge10Rh4 at its PBEsol-relaxed geometry.

Lattice parameters (Å, degrees): 12.8146 12.8146 4.2199 90.00 90.00 90.00
Last column: nearest neighbours and their distance in Å.
Space group P4/mbm (No. 127)
Inequivalent atoms, fractional coordinates:
Er 0.0000 0.0000 0.0000 [2 per cell]  8 Ge 2.92, 4 Rh 3.17
Er 0.1134 0.3866 0.5000 [4 per cell]  10 Ge 3.18-3.29, 4 Rh 3.26
Er 0.1744 0.6744 0.5000 [4 per cell]  8 Ge 2.87-3.08, 4 Rh 3.06
Ge 0.0030 0.8425 0.5000 [8 per cell]  2 Rh 2.41
Ge 0.0669 0.5669 0.0000 [4 per cell]  1 Ge 2.42, 2 Rh 2.47
Ge 0.1623 0.1994 0.0000 [8 per cell]  2 Rh 2.42-2.53, 1 Ge 2.51
Rh 0.0207 0.7537 0.0000 [8 per cell]  5 Ge 2.41-2.53

Volume ... 18.2 Å³/atom
Energy of formation from the pure elements ... -0.93 eV per atom

Number 1: raw total energy -151.06 eV for the cell shown. Number 2: raw total energy -130.34 eV for the cell shown. Number 3: raw total energy -479.94 eV for the cell shown. Number 4: raw total energy -151.08 eV for the cell shown. Number 5: raw total energy -230.38 eV for the cell shown. Number 6: raw total energy -243.25 eV for the cell shown. Number 7: raw total energy -117.98 eV for the cell shown. Number 8: raw total energy -445.34 eV for the cell shown. Number 9: raw total energy -138.61 eV for the cell shown. Number 10: raw total energy -218.50 eV for the cell shown. Number 11: raw total energy -1190.57 eV for the cell shown.